Run a
Rb2Tl6Pb | PBE | relaxed

* DOS at the Fermi energy: 4.40 states/eV/f.u.
* space-group type: C2/m

abc: 7.2328 7.2328 7.5015
angles: 93.96 93.96 56.52
Element x y z (fractional)
Rb 0.1693 0.1693 0.1315
Rb 0.8307 0.8307 0.8685
Tl 0.1608 0.6870 0.3255
Tl 0.3130 0.8392 0.6745
Tl 0.3155 0.3155 0.6296
Tl 0.6845 0.6845 0.3704
Tl 0.6870 0.1608 0.3255
Tl 0.8392 0.3130 0.6745
Pb 0.5000 0.5000 0.0000



Run b
Rb2Tl6Pb | PBE | relaxed

* DOS at the Fermi energy: 3.82 states/eV/f.u.
* space-group type: P6/mmm

abc: 9.9207 9.9207 3.6857
angles: 90.00 90.00 120.00
Element x y z (fractional)
Rb 0.3333 0.6667 0.0000
Rb 0.6667 0.3333 0.0000
Tl 0.0000 0.3141 0.5000
Tl 0.0000 0.6859 0.5000
Tl 0.3141 0.0000 0.5000
Tl 0.3141 0.3141 0.5000
Tl 0.6859 0.0000 0.5000
Tl 0.6859 0.6859 0.5000
Pb 0.0000 0.0000 0.0000



Stability ranking, top entry: run a; the second entry is 0.033 eV/atom less favorable.



Run a
RbTl3Pb | PBE | relaxed

* DOS at the Fermi energy: 2.36 states/eV/f.u.
* space-group type: P2_1/m

abc: 8.4671 5.1873 8.6886
angles: 90.00 105.97 90.00
Element x y z (fractional)
Rb 0.1779 0.2500 0.2049
Rb 0.8221 0.7500 0.7951
Tl 0.1258 0.2500 0.7410
Tl 0.3790 0.7500 0.9397
Tl 0.4940 0.2500 0.6582
Tl 0.5060 0.7500 0.3418
Tl 0.6210 0.2500 0.0603
Tl 0.8742 0.7500 0.2590
Pb 0.2280 0.7500 0.5556
Pb 0.7720 0.2500 0.4444



Run b
RbTl3Pb | PBE | relaxed

* DOS at the Fermi energy: 2.48 states/eV/f.u.
* space-group type: Pm-3m

abc: 6.1898 6.1898 6.1898
angles: 90.00 90.00 90.00
Element x y z (fractional)
Rb 0.0000 0.0000 0.0000
Tl 0.0000 0.5000 0.5000
Tl 0.5000 0.0000 0.5000
Tl 0.5000 0.5000 0.0000
Pb 0.5000 0.5000 0.5000



Stability ranking, top entry: run a; the second entry is 0.198 eV/atom less favorable.



Run a
RbTmPb2 | PBE | relaxed

* DOS at the Fermi energy: 1.50 states/eV/f.u.
* space-group type: P4/mmm

abc: 4.0907 4.0907 8.3852
angles: 90.00 90.00 90.00
Element x y z (fractional)
Rb 0.0000 0.0000 0.0000
Tm 0.0000 0.0000 0.5000
Pb 0.5000 0.5000 0.3120
Pb 0.5000 0.5000 0.6880



Run b
RbTmPb2 | PBE | relaxed

* DOS at the Fermi energy: 1.48 states/eV/f.u.
* space-group type: R-3m

abc: 3.7878 3.7878 33.1303
angles: 90.00 90.00 120.00
Element x y z (fractional)
Rb 0.0000 0.0000 0.0000
Rb 0.3333 0.6667 0.6667
Rb 0.6667 0.3333 0.3333
Tm 0.0000 0.0000 0.5000
Tm 0.3333 0.6667 0.1667
Tm 0.6667 0.3333 0.8333
Pb 0.0000 0.0000 0.2408
Pb 0.0000 0.0000 0.7592
Pb 0.3333 0.6667 0.4258
Pb 0.3333 0.6667 0.9075
Pb 0.6667 0.3333 0.0925
Pb 0.6667 0.3333 0.5742



Stability ranking, top entry: run a; the second entry is 0.125 eV/atom less favorable.